! KNdAu2I6 (PBE, optimized geometry); values from VASP
&SYSTEM
  ibrav = 0, nat = 10, ntyp = 4
/
ATOMIC_SPECIES
K 39.10 K.upf
Nd 144.24 Nd.upf
Au 196.97 Au.upf
I 126.90 I.upf
ATOMIC_POSITIONS crystal
K 0.0000 0.0000 0.0000
Nd 0.4998 0.5004 0.5000
Au 0.2371 0.2372 0.2878
Au 0.7619 0.7634 0.7122
I 0.1081 0.7397 0.7251
I 0.2603 0.5728 0.2747
I 0.4269 0.1088 0.7258
I 0.5729 0.8921 0.2750
I 0.7398 0.4274 0.7251
I 0.8913 0.2607 0.2748
CELL_PARAMETERS angstrom
7.9781 0.0000 0.0000
3.9869 6.9146 0.0000
3.9805 2.3037 8.3381
! * SG: P1, No. 1
! * Fermi-level density of states: 0.000 states/eV/atom
! * electronic total energy: -2.990 eV/atom
! * formation energy without anion corrections: -0.818 eV per atom

---

! LiDy3Cu2 (PBE, optimized geometry); values from VASP
&SYSTEM
  ibrav = 0, nat = 12, ntyp = 3
/
ATOMIC_SPECIES
Li 6.94 Li.upf
Dy 162.50 Dy.upf
Cu 63.55 Cu.upf
ATOMIC_POSITIONS crystal
Li 0.3333 0.6667 0.1734
Li 0.6667 0.3333 0.8266
Dy 0.0000 0.0000 0.2596
Dy 0.0000 0.0000 0.7404
Dy 0.3333 0.6667 0.4257
Dy 0.3333 0.6667 0.9173
Dy 0.6667 0.3333 0.0827
Dy 0.6667 0.3333 0.5743
Cu 0.0000 0.0000 0.0000
Cu 0.0000 0.0000 0.5000
Cu 0.3333 0.6667 0.6780
Cu 0.6667 0.3333 0.3220
CELL_PARAMETERS angstrom
4.9769 0.0000 0.0000
-2.4884 4.3101 0.0000
0.0000 0.0000 12.2370
! * SG: P-3m1, No. 164
! * Fermi-level density of states: 0.707 states/eV/atom
! * electronic total energy: -4.105 eV/atom

---

! Rb2ZrGaBr6 (PBE, optimized geometry); values from VASP
&SYSTEM
  ibrav = 0, nat = 10, ntyp = 4
/
ATOMIC_SPECIES
Rb 85.47 Rb.upf
Zr 91.22 Zr.upf
Ga 69.72 Ga.upf
Br 79.90 Br.upf
ATOMIC_POSITIONS crystal
Rb 0.2500 0.2500 0.2500
Rb 0.7500 0.7500 0.7500
Zr 0.0000 0.0000 0.0000
Ga 0.5000 0.5000 0.5000
Br 0.2372 0.2372 0.7628
Br 0.2372 0.7628 0.2372
Br 0.2372 0.7628 0.7628
Br 0.7628 0.2372 0.2372
Br 0.7628 0.2372 0.7628
Br 0.7628 0.7628 0.2372
CELL_PARAMETERS angstrom
0.0000 5.7153 5.7153
5.7153 0.0000 5.7153
5.7153 5.7153 0.0000
! * energy above the lowest structure with this stoichiometry: 10.4 meV/atom
! * SG: Fm-3m, No. 225
! * Fermi-level density of states: 0.805 states/eV/atom
! * electronic total energy: -3.657 eV/atom
! * formation energy without anion corrections: -1.303 eV per atom

---

! K2LiTc (PBE, optimized geometry); values from VASP
&SYSTEM
  ibrav = 0, nat = 16, ntyp = 3
/
ATOMIC_SPECIES
K 39.10 K.upf
Li 6.94 Li.upf
Tc 98.00 Tc.upf
ATOMIC_POSITIONS crystal
K 0.2415 0.7500 0.1250
K 0.2500 0.2415 0.8750
K 0.2500 0.2585 0.3750
K 0.2585 0.7500 0.6250
K 0.7415 0.2500 0.6250
K 0.7500 0.7415 0.3750
K 0.7500 0.7585 0.8750
K 0.7585 0.2500 0.1250
Li 0.0000 0.0000 0.0000
Li 0.0000 0.5000 0.2500
Li 0.5000 0.0000 0.7500
Li 0.5000 0.5000 0.5000
Tc 0.0000 0.0000 0.5000
Tc 0.0000 0.5000 0.7500
Tc 0.5000 0.0000 0.2500
Tc 0.5000 0.5000 0.0000
CELL_PARAMETERS angstrom
9.3194 0.0000 0.0000
0.0000 9.3194 0.0000
0.0000 0.0000 6.4432
! * energy above the lowest structure with this stoichiometry: 367.0 meV/atom
! * SG: I-42d, No. 122
! * Fermi-level density of states: 1.090 states/eV/atom
! * electronic total energy: -2.342 eV/atom

---

! BeFe2Co (PBE, optimized geometry); values from VASP
&SYSTEM
  ibrav = 0, nat = 16, ntyp = 3
/
ATOMIC_SPECIES
Be 9.01 Be.upf
Fe 55.84 Fe.upf
Co 58.93 Co.upf
ATOMIC_POSITIONS crystal
Be 0.0000 0.0000 0.0000
Be 0.0000 0.5000 0.2500
Be 0.5000 0.0000 0.7500
Be 0.5000 0.5000 0.5000
Fe 0.2334 0.2500 0.1250
Fe 0.2500 0.7334 0.3750
Fe 0.2500 0.7666 0.8750
Fe 0.2666 0.2500 0.6250
Fe 0.7334 0.7500 0.6250
Fe 0.7500 0.2334 0.8750
Fe 0.7500 0.2666 0.3750
Fe 0.7666 0.7500 0.1250
Co 0.0000 0.0000 0.5000
Co 0.0000 0.5000 0.7500
Co 0.5000 0.0000 0.2500
Co 0.5000 0.5000 0.0000
CELL_PARAMETERS angstrom
6.2095 0.0000 0.0000
0.0000 6.2095 0.0000
0.0000 0.0000 4.6809
! * SG: I-42d, No. 122
! * Fermi-level density of states: 1.105 states/eV/atom
! * electronic total energy: -6.531 eV/atom

---

! AcGd2P (PBE, optimized geometry); values from VASP
&SYSTEM
  ibrav = 0, nat = 12, ntyp = 3
/
ATOMIC_SPECIES
Ac 227.00 Ac.upf
Gd 157.25 Gd.upf
P 30.97 P.upf
ATOMIC_POSITIONS crystal
Ac 0.0000 0.0000 0.0000
Ac 0.3333 0.6667 0.6667
Ac 0.6667 0.3333 0.3333
Gd 0.0000 0.0000 0.1161
Gd 0.0000 0.0000 0.8839
Gd 0.3333 0.6667 0.5506
Gd 0.3333 0.6667 0.7827
Gd 0.6667 0.3333 0.2173
Gd 0.6667 0.3333 0.4494
P 0.0000 0.0000 0.5000
P 0.3333 0.6667 0.1667
P 0.6667 0.3333 0.8333
CELL_PARAMETERS angstrom
3.8521 0.0000 0.0000
-1.9260 3.3360 0.0000
0.0000 0.0000 31.7659
! * SG: R-3m, No. 166
! * Fermi-level density of states: 1.004 states/eV/atom
! * electronic total energy: -10.021 eV/atom